Entry from Alexandria: a geometry-optimized CeCoGe structure (GGA-PBE).

## Properties
**DFT formation energy**: -0.478 eV/atom
**Crystal system**: cubic
**Space-group type**: F-43m
**Calculated total energy**: -19.09 eV/cell

a = 4.3634 Å, b = 4.3634 Å, c = 4.3634 Å
α = 60.00°, β = 60.00°, γ = 60.00°
Closest atoms and distances in Å follow each position.
Element x y z (fractional)
Ce 0.0000 0.0000 0.0000  4 Co 2.67
Co 0.2500 0.2500 0.2500  4 Ge 2.67, 4 Ce 2.67
Ge 0.5000 0.5000 0.5000  4 Co 2.67